A plane-wave DFT calculation with PBE-GGA was carried out for Cs2DyAsS4 after structural relaxation.

Calculated values
Density   3.33 g/cm3
DOS at the Fermi energy   0.000 states/eV per cell
E_form (uncorrected)   -1053 meV per atom
Size of the total moment   0.00 μB/cell

Unit cell a=14.749 b=13.201 c=8.100 alpha=84.00 beta=62.89 gamma=33.11
Fractional positions:
Cs (0.055, 0.055, 0.695)
Cs (0.305, 0.305, 0.945)
Cs (0.695, 0.695, 0.055)
Cs (0.945, 0.945, 0.305)
Dy (0.125, 0.125, 0.125)
Dy (0.875, 0.875, 0.875)
As (0.375, 0.375, 0.375)
As (0.625, 0.625, 0.625)
S (0.011, 0.340, 0.429)
S (0.280, 0.571, 0.660)
S (0.340, 0.011, 0.720)
S (0.429, 0.720, 0.011)
S (0.571, 0.280, 0.989)
S (0.660, 0.989, 0.280)
S (0.720, 0.429, 0.340)
S (0.989, 0.660, 0.571)

---

A plane-wave DFT calculation with PBE-GGA was carried out for Sr2PtBr after structural relaxation.

Calculated values
Excess energy over the best structure of this formula in the dataset   263 meV per atom
Density   5.17 g/cm3
DOS at the Fermi energy   4.889 states/eV per cell
E_form (uncorrected)   -981 meV per atom
Size of the total moment   0.00 μB/cell

Unit cell a=7.244 b=7.244 c=7.244 alpha=113.07 beta=113.07 gamma=102.49
Fractional positions:
Sr (0.102, 0.625, 0.977)
Sr (0.375, 0.352, 0.477)
Sr (0.648, 0.125, 0.023)
Sr (0.875, 0.898, 0.523)
Pt (0.000, 0.000, 0.000)
Pt (0.750, 0.250, 0.500)
Br (0.250, 0.750, 0.500)
Br (0.500, 0.500, 0.000)